Entry 1:
ZnAg2Br2F2 | PBE-GGA | optimized geometry

Unit cell a=3.853 b=6.219 c=6.391 alpha=69.14 beta=72.46 gamma=71.95
Fractional positions:
F  0.813  0.293  0.081
F  0.187  0.707  0.919
Ag  0.847  0.615  0.691
Ag  0.153  0.385  0.309
Br  0.431  0.818  0.321
Br  0.569  0.182  0.679
Zn  0.000  0.000  0.000

Summary:
The calculation puts the energy relative to the elements, uncorrected at -23.12 kcal/mol of atoms. The value obtained for the volume is 132.87 Å³/f.u.



Entry 2:
BaIr2O6 | PBE-GGA | optimized geometry

Unit cell a=8.272 b=8.272 c=8.272 alpha=109.61 beta=109.61 gamma=109.61
Fractional positions:
O  0.639  0.010  0.641
O  0.364  0.717  0.666
O  0.641  0.639  0.010
O  0.329  0.049  0.686
O  0.359  0.357  0.998
O  0.666  0.364  0.717
O  0.642  0.301  0.353
O  0.641  0.949  0.285
O  0.301  0.353  0.642
O  0.998  0.359  0.357
O  0.357  0.998  0.359
O  0.285  0.641  0.949
O  0.949  0.285  0.641
O  0.010  0.641  0.639
O  0.717  0.666  0.364
O  0.049  0.686  0.329
O  0.353  0.642  0.301
O  0.686  0.329  0.049
Ir  0.655  0.162  0.501
Ir  0.162  0.501  0.655
Ir  0.345  0.839  0.501
Ir  0.839  0.501  0.345
Ir  0.501  0.655  0.162
Ir  0.501  0.345  0.839
Ba  0.997  0.994  0.366
Ba  0.366  0.997  0.994
Ba  0.994  0.366  0.997

Summary:
The calculation puts the energy relative to the elements, uncorrected at -28.47 kcal/mol of atoms. The value obtained for the volume is 144.50 Å³/f.u.



Entry 3:
KMnPCl2 | PBE-GGA | optimized geometry

Unit cell a=5.653 b=5.653 c=5.926 alpha=90.00 beta=90.00 gamma=90.00
Fractional positions:
P  0.000  0.000  0.500
Cl  0.500  0.000  0.000
Cl  0.000  0.500  0.000
K  0.000  0.000  0.000
Mn  0.500  0.500  0.500

Summary:
The calculation puts the energy relative to the elements, uncorrected at 11.46 kcal/mol of atoms. The value obtained for the volume is 189.34 Å³/f.u.



Entry 4:
BaTe2F | PBE-GGA | optimized geometry

Unit cell a=5.577 b=5.577 c=5.577 alpha=60.00 beta=60.00 gamma=60.00
Fractional positions:
Ba  0.500  0.500  0.500
F  0.000  0.000  0.000
Te  0.750  0.750  0.750
Te  0.250  0.250  0.250

Summary:
The calculation puts the energy relative to the elements, uncorrected at -19.03 kcal/mol of atoms. The value obtained for the volume is 122.68 Å³/f.u.



Entry 5:
BaNaSnPt | PBE-GGA | optimized geometry

Unit cell a=4.774 b=4.774 c=6.908 alpha=69.78 beta=69.78 gamma=60.00
Fractional positions:
Ba  0.829  0.829  0.513
Pt  0.266  0.266  0.201
Sn  0.613  0.613  0.161
Na  0.018  0.018  0.947

Summary:
For the formation energy, the calculation gives -0.488 eV/atom. The value obtained for the volume is 125.02 Å³/f.u.



Entry 6:
Mg6Ga12Re | PBE-GGA | optimized geometry

Unit cell a=7.107 b=7.107 c=7.107 alpha=96.44 beta=96.44 gamma=96.44
Fractional positions:
Ga  0.940  0.632  0.871
Ga  0.060  0.368  0.129
Ga  0.368  0.129  0.060
Ga  0.871  0.940  0.632
Ga  0.129  0.060  0.368
Ga  0.798  0.464  0.534
Ga  0.534  0.798  0.464
Ga  0.536  0.466  0.202
Ga  0.632  0.871  0.940
Ga  0.202  0.536  0.466
Ga  0.464  0.534  0.798
Ga  0.466  0.202  0.536
Re  0.000  0.000  0.000
Mg  0.123  0.283  0.744
Mg  0.717  0.256  0.877
Mg  0.744  0.123  0.283
Mg  0.256  0.877  0.717
Mg  0.283  0.744  0.123
Mg  0.877  0.717  0.256

Summary:
For the formation energy, the calculation gives -0.084 eV/atom. The value obtained for the volume is 351.58 Å³/f.u.



Entry 7:
ErGeAu4 | PBE-GGA | optimized geometry

Unit cell a=5.570 b=5.570 c=5.570 alpha=60.00 beta=60.00 gamma=60.00
Fractional positions:
Au  0.625  0.125  0.625
Au  0.625  0.625  0.125
Au  0.625  0.625  0.625
Au  0.125  0.625  0.625
Ge  0.000  0.000  0.000
Er  0.250  0.250  0.250

Summary:
For the formation energy, the calculation gives -0.295 eV/atom. The value obtained for the volume is 122.20 Å³/f.u.



Entry 8:
Ho2TiCo2 | PBE-GGA | optimized geometry

Unit cell a=3.794 b=5.593 c=5.593 alpha=59.10 beta=70.12 gamma=70.12
Fractional positions:
Ti  0.500  0.500  0.000
Co  0.000  0.224  0.276
Co  0.000  0.776  0.724
Ho  0.299  0.201  0.701
Ho  0.701  0.799  0.299

Summary:
For the formation energy, the calculation gives -0.257 eV/atom. The value obtained for the volume is 93.74 Å³/f.u.



Entry 9:
PtRh2 | PBE-GGA | optimized geometry

Unit cell a=2.738 b=7.269 c=4.529 alpha=90.00 beta=90.00 gamma=79.15
Fractional positions:
Pt  0.997  0.006  0.000
Pt  0.558  0.883  0.500
Rh  0.331  0.338  0.000
Rh  0.224  0.551  0.500
Rh  0.669  0.661  0.000
Rh  0.886  0.227  0.500

Summary:
For the formation energy, the calculation gives 0.047 eV/atom. The value obtained for the volume is 44.26 Å³/f.u.



Entry 10:
Tb4YHo6 | PBE-GGA | optimized geometry

Unit cell a=8.015 b=8.015 c=8.015 alpha=114.52 beta=107.01 gamma=107.01
Fractional positions:
Tb  0.000  0.517  0.748
Tb  0.231  0.483  0.483
Tb  0.000  0.748  0.517
Tb  0.769  0.252  0.252
Ho  0.600  0.508  0.508
Ho  0.000  0.492  0.092
Ho  0.000  0.092  0.492
Ho  0.400  0.908  0.908
Ho  0.500  0.500  0.000
Ho  0.500  0.000  0.500
Y  0.000  0.000  0.000

Summary:
For the formation energy, the calculation gives 0.605 eV/atom. The value obtained for the volume is 394.10 Å³/f.u.



Entry 11:
CeSbPtAu | PBE-GGA | optimized geometry

Unit cell a=4.981 b=4.981 c=4.981 alpha=60.00 beta=60.00 gamma=60.00
Fractional positions:
Pt  0.750  0.750  0.750
Ce  0.000  0.000  0.000
Sb  0.500  0.500  0.500
Au  0.250  0.250  0.250

Summary:
The calculation puts the energy relative to the elements, uncorrected at -16.44 kcal/mol of atoms. The value obtained for the volume is 87.37 Å³/f.u.



Entry 12:
CeNd2Sb | PBE-GGA | optimized geometry

Unit cell a=5.493 b=5.493 c=5.494 alpha=60.00 beta=60.00 gamma=60.00
Fractional positions:
Ce  0.500  0.500  0.500
Nd  0.750  0.750  0.750
Nd  0.250  0.250  0.250
Sb  0.000  0.000  0.000

Summary:
The calculation puts the energy relative to the elements, uncorrected at -6.21 kcal/mol of atoms. The value obtained for the volume is 117.22 Å³/f.u.



In the order shown, the computed magnetic moment values come out to 0.00 0.00 3.00 0.00 0.00 0.00 0.00 0.00 0.00 0.00 0.00 1.37 μB/cell.